1.
LaCrBr2 after structural relaxation, computed with GGA-PBE.

Cell: 9.2735 9.2735 9.2735 Å, 26.36 26.36 26.36°
Last column: nearest neighbours and their distance in Å.
Positions (direct):
La 0.0000 0.0000 0.0000  3 Br 3.10, 3 Cr 3.20
Cr 0.7435 0.7435 0.7435  3 Br 2.73
Br 0.2621 0.2621 0.2621  3 La 3.10
Br 0.4553 0.4553 0.4553  3 Cr 2.73

Space group: R3m
Crystal system: trigonal
ΔE to the lowest computed polymorph: 0.0359 eV per atom

---

2.
TlPb after structural relaxation, computed with GGA-PBE.

Cell: 6.3355 6.3355 6.3355 Å, 90.00 90.00 90.00°
Last column: nearest neighbours and their distance in Å.
Positions (direct):
Tl 0.1000 0.1000 0.1000  7 Pb 3.27-3.43
Tl 0.4000 0.9000 0.6000  7 Pb 3.27-3.43
Tl 0.6000 0.4000 0.9000  7 Pb 3.27-3.43
Tl 0.9000 0.6000 0.4000  7 Pb 3.27-3.43
Pb 0.1022 0.6022 0.8978  7 Tl 3.27-3.43
Pb 0.3978 0.3978 0.3978  7 Tl 3.27-3.43
Pb 0.6022 0.8978 0.1022  7 Tl 3.27-3.43
Pb 0.8978 0.1022 0.6022  7 Tl 3.27-3.43

Fermi-level density of states: 1.27 states/eV/f.u.
Space group: P2_13
Energy of formation from the pure elements: 0.067 eV per atom
Crystal system: cubic

---

3.
Tm2MgCu after structural relaxation, computed with GGA-PBE.

Cell: 9.3999 9.3999 9.3999 Å, 21.95 21.95 21.95°
Last column: nearest neighbours and their distance in Å.
Positions (direct):
Tm 0.2362 0.2362 0.2362  3 Cu 2.82
Tm 0.7638 0.7638 0.7638  3 Cu 2.82
Mg 0.0000 0.0000 0.0000  6 Tm 3.38, 6 Mg 3.58
Cu 0.5000 0.5000 0.5000  6 Tm 2.82

Fermi-level density of states: 5.21 states/eV/f.u.
Space group: R-3m
Energy of formation from the pure elements: 0.026 eV per atom
Crystal system: trigonal
ΔE to the lowest computed polymorph: 0.1901 eV per atom

---

4.
Y3NO2 after structural relaxation, computed with GGA-PBE.

Cell: 6.4819 6.4819 6.4819 Å, 146.58 60.48 131.16°
Last column: nearest neighbours and their distance in Å.
Positions (direct):
Y 0.0000 0.0000 0.0000  2 N 2.25, 2 O 2.33
Y 0.3712 0.0450 0.3263  1 N 2.28, 3 O 2.30-2.33
Y 0.7187 0.0450 0.6737  1 N 2.28, 3 O 2.30-2.33
N 0.7665 0.2665 0.5000  4 Y 2.25-2.28
O 0.1294 0.2859 0.8435  4 Y 2.30-2.33
O 0.4424 0.2859 0.1565  4 Y 2.30-2.33

Fermi-level density of states: 1.08 states/eV/f.u.
Space group: Imm2
Crystal system: orthorhombic
ΔE to the lowest computed polymorph: 0.1911 eV per atom

---

5.
NpUIr2 after structural relaxation, computed with GGA-PBE.

Cell: 6.8607 6.8607 6.8607 Å, 33.46 33.46 33.46°
Last column: nearest neighbours and their distance in Å.
Positions (direct):
Np 0.0000 0.0000 0.0000  6 Ir 2.81
U 0.5000 0.5000 0.5000  6 Ir 2.78
Ir 0.2488 0.2488 0.2488  3 U 2.78, 3 Np 2.81
Ir 0.7512 0.7512 0.7512  3 U 2.78, 3 Np 2.81

Fermi-level density of states: 13.38 states/eV/f.u.
Space group: R-3m
Energy of formation from the pure elements: -0.311 eV per atom
Crystal system: trigonal
ΔE to the lowest computed polymorph: 0.0027 eV per atom

---

6.
Cr2WSe after structural relaxation, computed with GGA-PBE.

Cell: 2.7333 2.7333 8.4521 Å, 90.00 90.00 112.25°
Last column: nearest neighbours and their distance in Å.
Positions (direct):
Cr 0.0000 0.0000 0.0000  2 Cr 2.35, 2 Se 2.58
Cr 0.5000 0.5000 0.2119  2 Cr 2.35, 2 W 2.56
W 0.0000 0.0000 0.4556  2 Cr 2.56, 4 W 2.73
Se 0.5000 0.5000 0.7542  2 Cr 2.58, 4 Se 2.73

Fermi-level density of states: 4.63 states/eV/f.u.
Space group: Cmm2
Crystal system: orthorhombic
Calculated total energy: -8.386 eV per atom